HfAlAu3 (PBE, relaxed); calculated formation energy = -0.4457 eV per atom
1.0
6.4984 0.0000 0.0000
0.0000 6.4984 0.0000
0.0000 0.0000 6.4984
Hf Au Al
3 9 3
Direct
0.0000 0.5000 0.5000
0.5000 0.0000 0.5000
0.5000 0.5000 0.0000
0.2286 0.7714 0.7714
0.5000 0.5000 0.5000
0.7714 0.7714 0.7714
0.7714 0.2286 0.2286
0.2286 0.2286 0.7714
0.2286 0.7714 0.2286
0.2286 0.2286 0.2286
0.7714 0.7714 0.2286
0.7714 0.2286 0.7714
0.0000 0.5000 0.0000
0.5000 0.0000 0.0000
0.0000 0.0000 0.5000

***

Hf3AlAu2 (PBE, relaxed); calculated formation energy = -0.4177 eV per atom
1.0
8.6962 0.0000 0.0000
4.3481 7.5311 0.0000
4.3481 2.5104 7.1004
Au Hf Al
8 12 4
Direct
0.8385 0.4845 0.8385
0.7655 0.4115 0.4115
0.4115 0.4115 0.4115
0.8385 0.8385 0.8385
0.4115 0.4115 0.7655
0.8385 0.8385 0.4845
0.4115 0.7655 0.4115
0.4845 0.8385 0.8385
0.1951 0.8049 0.1951
0.4451 0.4451 0.0549
0.4451 0.0549 0.0549
0.8049 0.1951 0.8049
0.4451 0.0549 0.4451
0.0549 0.4451 0.4451
0.1951 0.8049 0.8049
0.1951 0.1951 0.8049
0.0549 0.4451 0.0549
0.8049 0.1951 0.1951
0.0549 0.0549 0.4451
0.8049 0.8049 0.1951
0.6250 0.6250 0.6250
0.6250 0.1250 0.6250
0.6250 0.6250 0.1250
0.1250 0.6250 0.6250

***

HfAl2Au (PBE, relaxed); calculated formation energy = -0.3684 eV per atom
1.0
3.1270 0.0000 0.0000
0.0000 3.1270 0.0000
0.0000 0.0000 7.2003
Al Au Hf
2 1 1
Direct
0.0000 0.0000 0.2285
0.0000 0.0000 0.7715
0.5000 0.5000 0.0000
0.5000 0.5000 0.5000

***

Hf2AlAu (PBE, relaxed); calculated formation energy = -0.1211 eV per atom
1.0
4.3479 0.0000 0.0000
2.1740 3.7656 0.0202
2.1740 1.2299 5.1440
Al Hf Au
1 2 1
Direct
0.1148 0.8778 0.8927
0.6964 0.4591 0.1480
0.9034 0.6664 0.5268
0.4957 0.2587 0.7499

***

HfAlAu6 (PBE, relaxed); calculated formation energy = -0.3285 eV per atom
1.0
-1.3992 0.4884 4.0528
-1.0027 -4.3344 2.4735
5.9839 -1.2575 4.5148
Au Hf Al
6 1 1
Direct
0.7465 0.1366 0.3703
0.5091 0.2226 0.7592
0.4909 0.7774 0.2408
0.2303 0.4132 0.1261
0.7697 0.5868 0.8739
0.2535 0.8634 0.6297
0.0000 0.5000 0.5000
0.0000 0.0000 0.0000

***

Hf2AlAu6 (PBE, relaxed); calculated formation energy = -0.2698 eV per atom
1.0
-0.7662 3.2363 3.3494
-1.3219 -4.3772 3.9269
7.3627 0.4252 -1.6730
Al Au Hf
1 6 2
Direct
0.0000 0.0000 0.0000
0.0683 0.9048 0.3089
0.9317 0.0952 0.6911
0.0683 0.4041 0.3089
0.5000 0.2453 0.0000
0.5000 0.7547 0.0000
0.9317 0.5959 0.6911
0.4264 0.3174 0.6349
0.5736 0.6826 0.3651

***

Hf2AlAu4 (PBE, relaxed); calculated formation energy = -0.4207 eV per atom
1.0
-3.5359 -1.4191 -1.9859
0.8402 -3.0381 -3.9701
0.1651 -7.7803 0.6088
Au Hf Al
4 2 1
Direct
0.5776 0.5789 0.2661
0.4224 0.4211 0.7339
0.1390 0.1423 0.5800
0.8610 0.8577 0.4200
0.7129 0.7374 0.8367
0.2871 0.2626 0.1633
0.0000 0.0000 0.0000

***

Hf2AlAu2 (PBE, relaxed); calculated formation energy = -0.1843 eV per atom
1.0
7.7213 0.0000 0.0000
0.0000 7.7213 0.0000
0.0000 0.0000 3.4529
Hf Al Au
4 2 4
Direct
0.6661 0.1661 0.0000
0.8339 0.6661 0.0000
0.1661 0.3339 0.0000
0.3339 0.8339 0.0000
0.0000 0.0000 0.0000
0.5000 0.5000 0.0000
0.8676 0.3676 0.5000
0.6324 0.8676 0.5000
0.1324 0.6324 0.5000
0.3676 0.1324 0.5000

***

Question: Among the records above, which one has the highest calculated formation energy?
Answer: Hf2AlAu

***

Question: Which of these has the highest calculated formation energy?
Answer: Hf2AlAu